Model i:
{"formula": "Dy6YEr12", "functional": "GGA-PBE", "state": "optimized geometry", "magmom_total_mub_per_cell": 0.004, "spacegroup": "R-3m, No. 166", "cell": [[-4.027, -0.065, -8.354], [7.851, -4.906, -0.537], [-5.669, -4.262, 5.975]], "species": ["Dy", "Er", "Er", "Dy", "Er", "Er", "Er", "Dy", "Er", "Er", "Er", "Dy", "Er", "Er", "Dy", "Er", "Dy", "Y", "Er"], "fractional_positions": [[0.318, 0.318, 0.740], [0.361, 0.146, 0.361], [0.500, 0.110, 0.890], [0.740, 0.318, 0.318], [0.361, 0.361, 0.146], [0.639, 0.854, 0.639], [0.854, 0.639, 0.639], [0.682, 0.682, 0.260], [0.110, 0.500, 0.890], [0.890, 0.110, 0.500], [0.110, 0.890, 0.500], [0.318, 0.740, 0.318], [0.890, 0.500, 0.110], [0.500, 0.890, 0.110], [0.260, 0.682, 0.682], [0.146, 0.361, 0.361], [0.682, 0.260, 0.682], [0.000, 0.000, 0.000], [0.639, 0.639, 0.854]]}

---

Model ii:
{"formula": "Dy6YEr12", "functional": "GGA-PBE", "state": "optimized geometry", "magmom_total_mub_per_cell": 0.001, "spacegroup": "R-3, No. 148", "cell": [[-3.858, -7.075, -2.586], [7.161, -2.975, -3.390], [2.022, -4.030, 7.162]], "species": ["Er", "Dy", "Er", "Er", "Dy", "Er", "Er", "Er", "Y", "Er", "Er", "Er", "Er", "Dy", "Er", "Dy", "Dy", "Dy", "Er"], "fractional_positions": [[0.564, 0.227, 0.456], [0.910, 0.313, 0.744], [0.355, 0.009, 0.211], [0.211, 0.355, 0.009], [0.090, 0.687, 0.256], [0.773, 0.544, 0.436], [0.991, 0.789, 0.645], [0.227, 0.456, 0.564], [0.000, 0.000, 0.000], [0.544, 0.436, 0.773], [0.456, 0.564, 0.227], [0.009, 0.211, 0.355], [0.789, 0.645, 0.991], [0.256, 0.090, 0.687], [0.645, 0.991, 0.789], [0.687, 0.256, 0.090], [0.313, 0.744, 0.910], [0.744, 0.910, 0.313], [0.436, 0.773, 0.544]]}

---

In order of decreasing stability: model ii, model i.

---

Model i:
{"formula": "Dy2Y3Er", "functional": "GGA-PBE", "state": "optimized geometry", "magmom_total_mub_per_cell": 0.003, "spacegroup": "C2/m, No. 12", "cell": [[-0.998, 1.374, -3.056], [-8.890, -1.576, 0.195], [-4.547, 11.174, 4.509]], "species": ["Dy", "Y", "Y", "Y", "Dy", "Y", "Y", "Er", "Dy", "Dy", "Er", "Y"], "fractional_positions": [[0.181, 0.520, 0.117], [0.401, 0.173, 0.025], [0.038, 0.139, 0.785], [0.962, 0.861, 0.215], [0.658, 0.154, 0.531], [0.740, 0.813, 0.707], [0.599, 0.827, 0.975], [0.438, 0.482, 0.643], [0.819, 0.480, 0.883], [0.342, 0.846, 0.469], [0.562, 0.518, 0.357], [0.260, 0.187, 0.293]]}

---

Model ii:
{"formula": "Dy2Y3Er", "functional": "GGA-PBE", "state": "optimized geometry", "magmom_total_mub_per_cell": 0.000, "spacegroup": "C2/c, No. 15", "cell": [[6.139, 0.086, -0.223], [-0.187, 6.605, -2.601], [0.346, -0.109, 9.392]], "species": ["Dy", "Dy", "Y", "Y", "Dy", "Er", "Er", "Y", "Dy", "Y", "Y", "Y"], "fractional_positions": [[0.417, 0.459, 0.667], [0.917, 0.208, 0.667], [0.917, 0.709, 0.667], [0.583, 0.041, 0.333], [0.083, 0.792, 0.333], [0.250, 0.875, 0.000], [0.750, 0.125, 0.000], [0.750, 0.625, 0.000], [0.583, 0.541, 0.333], [0.250, 0.375, 0.000], [0.417, 0.959, 0.667], [0.083, 0.291, 0.333]]}

---

In order of decreasing stability: model ii, model i.

---

Model i:
{"formula": "Dy7Y12Er", "functional": "GGA-PBE", "state": "optimized geometry", "magmom_total_mub_per_cell": 0.000, "spacegroup": "R-3, No. 148", "cell": [[8.587, 0.751, 1.127], [-1.666, 8.457, 1.127], [-1.666, -2.217, 8.239]], "species": ["Dy", "Y", "Y", "Dy", "Y", "Dy", "Y", "Y", "Y", "Y", "Y", "Y", "Dy", "Dy", "Dy", "Y", "Y", "Dy", "Er", "Y"], "fractional_positions": [[0.647, 0.977, 0.915], [0.184, 0.751, 0.311], [0.149, 0.417, 0.481], [0.085, 0.353, 0.023], [0.481, 0.149, 0.417], [0.915, 0.647, 0.977], [0.311, 0.184, 0.751], [0.689, 0.816, 0.249], [0.249, 0.689, 0.816], [0.583, 0.519, 0.851], [0.751, 0.311, 0.184], [0.816, 0.249, 0.689], [0.977, 0.915, 0.647], [0.500, 0.500, 0.500], [0.353, 0.023, 0.085], [0.519, 0.851, 0.583], [0.417, 0.481, 0.149], [0.023, 0.085, 0.353], [0.000, 0.000, 0.000], [0.851, 0.583, 0.519]]}

---

Model ii:
{"formula": "Dy7Y12Er", "functional": "GGA-PBE", "state": "optimized geometry", "magmom_total_mub_per_cell": 0.000, "spacegroup": "R-3, No. 148", "cell": [[-3.264, 4.413, -3.856], [-3.445, 2.817, 10.030], [3.763, 9.556, 3.863]], "species": ["Y", "Dy", "Y", "Dy", "Er", "Y", "Dy", "Y", "Y", "Dy", "Y", "Dy", "Y", "Y", "Y", "Y", "Y", "Y", "Dy", "Dy"], "fractional_positions": [[0.706, 0.790, 0.790], [0.366, 0.302, 0.835], [0.294, 0.210, 0.210], [0.799, 0.165, 0.137], [0.000, 0.000, 0.000], [0.916, 0.420, 0.790], [0.500, 0.000, 0.000], [0.268, 0.523, 0.932], [0.745, 0.546, 0.523], [0.634, 0.698, 0.165], [0.255, 0.454, 0.477], [0.064, 0.863, 0.302], [0.084, 0.580, 0.210], [0.496, 0.790, 0.420], [0.800, 0.068, 0.454], [0.732, 0.477, 0.068], [0.200, 0.932, 0.546], [0.504, 0.210, 0.580], [0.201, 0.835, 0.863], [0.936, 0.137, 0.698]]}

---

In order of decreasing stability: model i, model ii.

---

Model i:
{"formula": "Dy2YEr3", "functional": "GGA-PBE", "state": "optimized geometry", "magmom_total_mub_per_cell": 0.000, "spacegroup": "C2/m, No. 12", "cell": [[-3.084, -0.745, -1.731], [3.214, -10.637, -1.148], [-4.142, 3.577, 9.612]], "species": ["Er", "Er", "Er", "Y", "Y", "Er", "Dy", "Dy", "Dy", "Dy", "Er", "Er"], "fractional_positions": [[0.279, 0.153, 0.557], [0.611, 0.487, 0.222], [0.945, 0.321, 0.890], [0.611, 0.986, 0.223], [0.389, 0.014, 0.777], [0.721, 0.847, 0.443], [0.277, 0.653, 0.554], [0.056, 0.183, 0.111], [0.723, 0.347, 0.446], [0.944, 0.817, 0.889], [0.389, 0.513, 0.778], [0.055, 0.679, 0.110]]}

---

Model ii:
{"formula": "Dy2YEr3", "functional": "GGA-PBE", "state": "optimized geometry", "magmom_total_mub_per_cell": 0.000, "spacegroup": "P-1, No. 2", "cell": [[6.102, 0.085, -0.223], [-0.186, 6.564, -2.589], [0.345, -0.112, 9.338]], "species": ["Er", "Dy", "Y", "Er", "Y", "Er", "Dy", "Dy", "Dy", "Er", "Er", "Er"], "fractional_positions": [[0.584, 0.042, 0.334], [0.418, 0.458, 0.667], [0.250, 0.874, 0.000], [0.084, 0.292, 0.334], [0.750, 0.126, 0.000], [0.416, 0.958, 0.666], [0.918, 0.209, 0.667], [0.082, 0.791, 0.333], [0.582, 0.542, 0.333], [0.916, 0.708, 0.666], [0.750, 0.624, 0.000], [0.250, 0.376, 0.000]]}

---

In order of decreasing stability: model i, model ii.

---

Model i:
{"formula": "DyY4Er6", "functional": "GGA-PBE", "state": "optimized geometry", "magmom_total_mub_per_cell": 0.000, "spacegroup": "I-42m, No. 121", "cell": [[6.524, 0.000, 0.000], [0.000, 6.524, 0.000], [-3.262, -3.262, 8.535]], "species": ["Er", "Er", "Dy", "Er", "Er", "Er", "Y", "Y", "Er", "Y", "Y"], "fractional_positions": [[0.854, 0.485, 0.339], [0.500, 0.000, 0.000], [0.500, 0.500, 0.000], [0.485, 0.854, 0.339], [0.515, 0.515, 0.661], [0.146, 0.146, 0.661], [0.685, 0.045, 0.730], [0.045, 0.685, 0.730], [0.000, 0.500, 0.000], [0.315, 0.315, 0.270], [0.955, 0.955, 0.270]]}

---

Model ii:
{"formula": "DyY4Er6", "functional": "GGA-PBE", "state": "optimized geometry", "magmom_total_mub_per_cell": 0.000, "spacegroup": "I-42m, No. 121", "cell": [[0.705, 4.233, -8.671], [-6.663, -3.340, 6.169], [-0.053, 2.215, 9.418]], "species": ["Dy", "Er", "Y", "Er", "Er", "Y", "Er", "Y", "Y", "Er", "Er"], "fractional_positions": [[0.000, 0.000, 0.000], [0.642, 0.191, 0.191], [0.000, 0.639, 0.013], [0.000, 0.809, 0.450], [0.500, 0.000, 0.500], [0.626, 0.987, 0.987], [0.000, 0.450, 0.809], [0.000, 0.013, 0.639], [0.374, 0.361, 0.361], [0.358, 0.550, 0.550], [0.500, 0.500, 0.000]]}

---

In order of decreasing stability: model ii, model i.

---

Model i:
{"formula": "Dy2Y5Er", "functional": "GGA-PBE", "state": "optimized geometry", "magmom_total_mub_per_cell": 0.000, "spacegroup": "P2_1/m, No. 11", "cell": [[-0.161, -7.653, -4.283], [1.700, -3.307, -7.616], [10.474, -2.020, 3.215]], "species": ["Y", "Dy", "Y", "Y", "Dy", "Er", "Y", "Dy", "Dy", "Y", "Y", "Er", "Y", "Y", "Y", "Y"], "fractional_positions": [[0.331, 0.959, 0.423], [0.116, 0.422, 0.884], [0.331, 0.959, 0.077], [0.234, 0.691, 0.750], [0.884, 0.578, 0.116], [0.504, 0.847, 0.750], [0.669, 0.041, 0.923], [0.884, 0.578, 0.384], [0.116, 0.422, 0.616], [0.766, 0.309, 0.250], [0.798, 0.325, 0.919], [0.496, 0.153, 0.250], [0.202, 0.675, 0.081], [0.202, 0.675, 0.419], [0.798, 0.325, 0.581], [0.669, 0.041, 0.577]]}

---

Model ii:
{"formula": "Dy2Y5Er", "functional": "GGA-PBE", "state": "optimized geometry", "magmom_total_mub_per_cell": 0.001, "spacegroup": "Cmcm, No. 63", "cell": [[-1.466, 1.757, 5.027], [-1.775, -6.176, -1.393], [13.724, -5.263, 5.841]], "species": ["Dy", "Er", "Y", "Y", "Dy", "Er", "Y", "Y", "Dy", "Y", "Y", "Y", "Y", "Dy", "Y", "Y"], "fractional_positions": [[0.780, 0.560, 0.131], [0.732, 0.464, 0.750], [0.542, 0.084, 0.250], [0.619, 0.239, 0.549], [0.220, 0.440, 0.869], [0.268, 0.536, 0.250], [0.381, 0.761, 0.049], [0.381, 0.761, 0.451], [0.220, 0.440, 0.631], [0.078, 0.157, 0.094], [0.078, 0.157, 0.406], [0.458, 0.916, 0.750], [0.922, 0.843, 0.594], [0.780, 0.560, 0.369], [0.619, 0.239, 0.951], [0.922, 0.843, 0.906]]}

---

In order of decreasing stability: model ii, model i.

---

Model i:
{"formula": "Dy7Y2Er", "functional": "GGA-PBE", "state": "optimized geometry", "magmom_total_mub_per_cell": 0.003, "spacegroup": "Cmmm, No. 65", "cell": [[5.066, 0.000, 0.000], [0.000, 9.780, -0.991], [0.000, -5.297, 8.281]], "species": ["Y", "Er", "Dy", "Dy", "Dy", "Dy", "Dy", "Y", "Dy", "Dy"], "fractional_positions": [[0.500, 0.703, 0.297], [0.000, 0.000, 0.000], [0.500, 0.715, 0.924], [0.000, 0.191, 0.809], [0.000, 0.809, 0.191], [0.500, 0.924, 0.715], [0.500, 0.076, 0.285], [0.500, 0.297, 0.703], [0.500, 0.500, 0.500], [0.500, 0.285, 0.076]]}

---

Model ii:
{"formula": "Dy7Y2Er", "functional": "GGA-PBE", "state": "optimized geometry", "magmom_total_mub_per_cell": 0.000, "spacegroup": "Cmmm, No. 65", "cell": [[2.328, 9.655, 1.944], [-2.517, -0.812, -9.768], [-3.357, 0.646, 0.811]], "species": ["Dy", "Dy", "Dy", "Er", "Dy", "Dy", "Y", "Dy", "Y", "Dy"], "fractional_positions": [[0.871, 0.611, 0.500], [0.389, 0.129, 0.500], [0.328, 0.672, 0.000], [0.000, 0.000, 0.000], [0.500, 0.500, 0.500], [0.672, 0.328, 0.000], [0.171, 0.829, 0.500], [0.129, 0.389, 0.500], [0.829, 0.171, 0.500], [0.611, 0.871, 0.500]]}

---

In order of decreasing stability: model ii, model i.

---

Model i:
{"formula": "Dy2Y7Er2", "functional": "GGA-PBE", "state": "optimized geometry", "magmom_total_mub_per_cell": 0.000, "spacegroup": "Imm2, No. 44", "cell": [[5.274, 0.000, -1.610], [-1.223, 6.986, -4.007], [-0.040, 0.585, 9.312]], "species": ["Dy", "Y", "Y", "Y", "Y", "Y", "Dy", "Y", "Y", "Er", "Er"], "fractional_positions": [[0.701, 0.323, 0.402], [0.861, 0.775, 0.722], [0.500, 0.921, 0.000], [0.137, 0.466, 0.274], [0.139, 0.053, 0.278], [0.661, 0.784, 0.321], [0.299, 0.921, 0.598], [0.863, 0.192, 0.726], [0.339, 0.463, 0.679], [0.500, 0.334, 0.000], [0.000, 0.623, 0.000]]}

---

Model ii:
{"formula": "Dy2Y7Er2", "functional": "GGA-PBE", "state": "optimized geometry", "magmom_total_mub_per_cell": 0.000, "spacegroup": "C2/m, No. 12", "cell": [[-1.329, -4.641, 3.599], [1.749, -6.582, -4.236], [6.419, -0.984, 4.707]], "species": ["Y", "Er", "Y", "Y", "Y", "Er", "Y", "Dy", "Dy", "Y", "Y"], "fractional_positions": [[0.409, 0.229, 0.229], [0.801, 0.413, 0.413], [0.824, 0.410, 0.939], [0.591, 0.771, 0.771], [0.176, 0.590, 0.061], [0.199, 0.587, 0.587], [0.176, 0.061, 0.590], [0.500, 0.782, 0.218], [0.500, 0.218, 0.782], [0.000, 0.000, 0.000], [0.824, 0.939, 0.410]]}

---

In order of decreasing stability: model i, model ii.